Record 1
A relaxed structure of Tl2Cl. Source: Alexandria, functional GGA-PBE.

The value obtained for the total energy is -7.55 eV per formula unit. For the uncorrected formation energy, the calculation gives -325 meV/atom.

The structure belongs to space group P6/mmm (No. 191); the cell edges are 5.5191, 5.5191 and 3.4630 Å and the angles 90.00°, 90.00° and 120.00°. The asymmetric unit holds Tl at (0.3333, 0.6667, 0.0000) and Cl at (0.0000, 0.0000, 0.5000).


Record 2
A relaxed structure of Tl7Cl. Source: Alexandria, functional GGA-PBE.

The value obtained for the total energy is -19.68 eV per formula unit. For the uncorrected formation energy, the calculation gives -158 meV/atom.

The structure belongs to space group Fm-3m (No. 225); the cell edges are 9.927, 9.927 and 9.927 Å and the angles 90.00°, 90.00° and 90.00°. The asymmetric unit holds Tl at (0.000, 0.000, 0.000), Tl at (0.000, 0.250, 0.250) and Cl at (0.000, 0.000, 0.500).


Record 3
A relaxed structure of TmTl4Cl7. Source: Alexandria, functional GGA-PBE.

The value obtained for the total energy is -44.09 eV per formula unit. For the uncorrected formation energy, the calculation gives -1435 meV/atom.

The structure belongs to space group C2/m (No. 12); the cell edges are 21.802, 5.176 and 7.640 Å and the angles 90.00°, 108.10° and 90.00°. The asymmetric unit holds Tm at (0.000, 0.000, 0.000), Tl at (0.085, 0.500, 0.634), Tl at (0.194, 0.500, 0.247), Cl at (0.000, 0.500, 0.000), Cl at (0.071, 0.000, 0.343), Cl at (0.105, 0.000, 0.906) and Cl at (0.221, 0.500, 0.665).


Record 4
A relaxed structure of TmTl5Cl8. Source: Alexandria, functional GGA-PBE.

The value obtained for the total energy is -49.90 eV per formula unit. For the uncorrected formation energy, the calculation gives -1345 meV/atom.

The structure belongs to space group I-4 (No. 82); the cell edges are 9.293, 9.293 and 9.680 Å and the angles 90.00°, 90.00° and 90.00°. The asymmetric unit holds Tm at (0.000, 0.000, 0.000), Tl at (0.000, 0.500, 0.250), Tl at (0.123, 0.239, 0.617), Cl at (0.062, 0.166, 0.253) and Cl at (0.073, 0.270, 0.930).


Number 2 is which compound?
Tl7Cl